This record from the Alexandria database describes an optimized crystal structure of Sr2CaRu. The functional is PBE-GGA.

Lattice parameters (Å, degrees): 7.8651 7.8651 7.8651 90.00 90.00 90.00
Closest atoms and distances in Å follow each position.
Space group Fm-3m (No. 225)
Unique sites:
Sr 0.2500 0.2500 0.2500 (multiplicity 8)  4 Ru 3.41, 4 Ca 3.41
Ca 0.0000 0.0000 0.0000 (multiplicity 4)  8 Sr 3.41
Ru 0.0000 0.0000 0.5000 (multiplicity 4)  8 Sr 3.41

Summary:
Density of states at the Fermi level = 1.37 states/eV/f.u.
VASP energy = -12.8 eV per formula unit
Volume = 30.41 Å³/atom
Energy of formation from the pure elements = 44 kJ per mole of atoms
Energy relative to the lowest polymorph listed for this composition = 0.69 eV/f.u.